# Sn2TeI

Crystalline Sn2TeI at its relaxed geometry (PBE, Alexandria via LeMat-Bulk).

a = 10.1634 Å, b = 16.8513 Å, c = 7.5206 Å
α = 90.00°, β = 120.13°, γ = 90.00°
Closest atoms and distances in Å follow each position.
Space group C2/c (No. 15)
One atom of each set of equivalent atoms:
Sn 0.2365 0.1879 0.2869 [8 per cell]  3 Te 3.11-3.15
Sn 0.2401 0.0662 0.7222 [8 per cell]  3 Te 3.14-3.34, 3 I 3.26-3.50
Te 0.0000 0.0616 0.2500 [4 per cell]  6 Sn 3.12-3.34
Te 0.0000 0.3138 0.2500 [4 per cell]  6 Sn 3.11-3.25
I 0.0000 0.1864 0.7500 [4 per cell]  6 Sn 3.26-3.53
I 0.0000 0.4411 0.7500 [4 per cell]  6 Sn 3.30-3.57

Properties
* formation energy (no corrections): -159 meV/atom
* E: -3.334 eV per atom
* energy above the most stable polymorph in this dataset: 0 meV/atom